(1)
VASP calculation (PBE) on a relaxed structure of AlCdP3.

abc: 4.6758 4.6758 4.6758
angles: 90.00 90.00 90.00
Space group Pm-3m (No. 221)
Asymmetric unit:
Al1 0.0000 0.0000 0.0000 (multiplicity 1)
Cd1 0.5000 0.5000 0.5000 (multiplicity 1)
P1 0.0000 0.0000 0.5000 (multiplicity 3)

Results
- DFT formation energy: 651 meV per atom
- Polymorph energy (0 for the lowest one): 0.000 eV per formula unit



(2)
VASP calculation (PBE) on a relaxed structure of Al2CdP.

abc: 3.6152 5.5677 7.8111
angles: 90.00 90.00 90.00
Space group Cmmm (No. 65)
Asymmetric unit:
Al1 0.0000 0.0000 0.2073 (multiplicity 4)
Cd1 0.0000 0.5000 0.5000 (multiplicity 2)
P1 0.0000 0.5000 0.0000 (multiplicity 2)

Results
- DFT formation energy: 160 meV per atom
- Polymorph energy (0 for the lowest one): 0.975 eV per formula unit



(3)
VASP calculation (PBE) on a relaxed structure of AlCdP2.

abc: 7.2961 3.6133 6.1968
angles: 90.00 93.35 90.00
Space group Cm (No. 8)
Asymmetric unit:
Al1 0.0000 0.0000 0.0000 (multiplicity 2)
Cd1 0.2872 0.5000 0.4941 (multiplicity 2)
P1 0.2944 0.0000 0.8400 (multiplicity 2)
P2 0.4831 0.0000 0.2617 (multiplicity 2)

Results
- DFT formation energy: -24 meV per atom
- Polymorph energy (0 for the lowest one): 0.433 eV per formula unit



(4)
VASP calculation (PBE) on a relaxed structure of AlCdP2.

abc: 4.9294 4.9294 2.8814
angles: 90.00 90.00 90.00
Space group P4/mmm (No. 123)
Asymmetric unit:
Al1 0.0000 0.0000 0.0000 (multiplicity 1)
Cd1 0.5000 0.5000 0.0000 (multiplicity 1)
P1 0.0000 0.5000 0.5000 (multiplicity 2)

Results
- DFT formation energy: 334 meV per atom
- Polymorph energy (0 for the lowest one): 1.863 eV per formula unit